[1]
First-principles (GGA-PBE) data for crystalline LaZrTeRh2 at its relaxed geometry, as listed in Alexandria.

Cell: 4.878 5.527 4.878 Å, 90.00 90.00 90.00°
Fractional coordinates of all 5 atoms:
Te (0.000, 0.500, 0.000)
Rh (0.000, 0.000, 0.500)
Rh (0.500, 0.000, 0.000)
Zr (0.000, 0.000, 0.000)
La (0.500, 0.500, 0.500)

## Properties
Total DFT energy (no corrections) = -32.5 eV per formula unit
Uncorrected formation energy = -0.231 eV/atom
Symmetry = No. 123

***

[2]
First-principles (GGA-PBE) data for crystalline RbAcTeO at its relaxed geometry, as listed in Alexandria.

Cell: 4.164 4.164 8.859 Å, 76.41 76.41 60.00°
Fractional coordinates of all 4 atoms:
Rb (0.205, 0.205, 0.386)
Ac (0.352, 0.352, 0.944)
Te (0.775, 0.775, 0.674)
O (0.647, 0.647, 0.060)

## Properties
Total DFT energy (no corrections) = -20.1 eV per formula unit
Uncorrected formation energy = -1.731 eV/atom
Symmetry = No. 160

***

[3]
First-principles (GGA-PBE) data for crystalline TbMgPt at its relaxed geometry, as listed in Alexandria.

Cell: 4.699 4.699 4.699 Å, 60.00 60.00 60.00°
Fractional coordinates of all 3 atoms:
Mg (0.500, 0.500, 0.500)
Tb (0.000, 0.000, 0.000)
Pt (0.250, 0.250, 0.250)

## Properties
Total DFT energy (no corrections) = -14.8 eV per formula unit
Calculated formation energy = -833 meV/atom
Symmetry = No. 216